No. 1
ZnSn2I | GGA-PBE | optimized geometry

## Properties
Symmetry   R-3m, No. 166
E above lowest polymorph   0 meV/atom
Total energy   -10.1 eV/f.u.
Volume   28.47 Å³/atom

abc: 10.9070 10.9070 10.9070
angles: 18.48 18.48 18.48
Positions (direct):
Zn: 0.0000 0.0000 0.0000
Sn: 0.4014 0.4014 0.4014
Sn: 0.5986 0.5986 0.5986
I: 0.5000 0.5000 0.5000

---

No. 2
Zn2Sn2I | GGA-PBE | optimized geometry

## Properties
Symmetry   I4/mmm, No. 139
E above lowest polymorph   7 meV/atom
Total energy   -11.4 eV/f.u.
Volume   26.59 Å³/atom

abc: 6.8964 6.8964 6.8964
angles: 140.25 140.25 57.47
Positions (direct):
Zn: 0.1038 0.1038 0.0000
Zn: 0.8962 0.8962 0.0000
Sn: 0.2500 0.7500 0.5000
Sn: 0.7500 0.2500 0.5000
I: 0.5000 0.5000 0.0000